(1)
Y3Co | PBE | relaxed

Lattice parameters (Å, degrees): 3.7023 3.7023 28.1287 90.00 90.00 120.00
With the nearest neighbours (Å) after each atom.
Sites, in units of the cell vectors:
Y 0.0000 0.0000 0.0000  12 Y 3.70-3.75
Y 0.0000 0.0000 0.2236  3 Co 2.67
Y 0.0000 0.0000 0.7764  3 Co 2.67
Y 0.3333 0.6667 0.4431  3 Co 2.67
Y 0.3333 0.6667 0.6667  12 Y 3.70-3.75
Y 0.3333 0.6667 0.8903  3 Co 2.67
Y 0.6667 0.3333 0.1097  3 Co 2.67
Y 0.6667 0.3333 0.3333  12 Y 3.70-3.75
Y 0.6667 0.3333 0.5569  3 Co 2.67
Co 0.0000 0.0000 0.5000  6 Y 2.67
Co 0.3333 0.6667 0.1667  6 Y 2.67
Co 0.6667 0.3333 0.8333  6 Y 2.67

- symmetry = R-3m (166)
- ΔH_f (0 K) (eV per atom) = 0.039
- final energy (eV/f.u.) = -26.34
- magnetization (Bohr magnetons per cell) = 0.00



(2)
La2Tb6Pr3Y | PBE | relaxed

Lattice parameters (Å, degrees): 6.3035 6.3035 11.9699 95.02 95.02 120.00
With the nearest neighbours (Å) after each atom.
Sites, in units of the cell vectors:
La 0.1662 0.8338 0.0000  6 Tb 3.62, 3 La 3.63-3.64, 3 Y 3.64
La 0.8338 0.1662 0.0000  6 Tb 3.62, 3 La 3.63-3.64, 3 Y 3.64
Tb 0.0839 0.4167 0.7500  3 Pr 3.62, 1 Y 3.62, 2 La 3.62, 6 Tb 3.63-3.64
Tb 0.2507 0.2507 0.2504  3 Pr 3.62, 1 Y 3.62, 2 La 3.62, 6 Tb 3.63-3.64
Tb 0.4167 0.0839 0.7500  3 Pr 3.62, 1 Y 3.62, 2 La 3.62, 6 Tb 3.63-3.64
Tb 0.5833 0.9161 0.2500  3 Pr 3.62, 1 Y 3.62, 2 La 3.62, 6 Tb 3.63-3.64
Tb 0.7493 0.7493 0.7496  3 Pr 3.62, 1 Y 3.62, 2 La 3.62, 6 Tb 3.63-3.64
Tb 0.9161 0.5833 0.2500  3 Pr 3.62, 1 Y 3.62, 2 La 3.62, 6 Tb 3.63-3.64
Pr 0.0000 0.0000 0.5000  6 Tb 3.62, 6 Pr 3.64
Pr 0.3333 0.6667 0.5000  6 Tb 3.62, 6 Pr 3.64
Pr 0.6667 0.3333 0.5000  6 Tb 3.62, 6 Pr 3.64
Y 0.5000 0.5000 0.0000  6 Tb 3.62, 6 La 3.64

- symmetry = C2/m (12)
- ΔH_f (0 K) (eV per atom) = 0.014
- final energy (eV/f.u.) = -58.27
- magnetization (Bohr magnetons per cell) = 0.00



(3)
Nd12TlRh6 | PBE | relaxed

Lattice parameters (Å, degrees): 8.8491 8.8491 8.8491 109.47 109.47 109.47
With the nearest neighbours (Å) after each atom.
Sites, in units of the cell vectors:
Nd 0.1191 0.8143 0.3048  3 Rh 2.74-3.06
Nd 0.1857 0.3048 0.4904  3 Rh 2.74-3.06
Nd 0.1857 0.6952 0.8809  3 Rh 2.74-3.06
Nd 0.3048 0.1191 0.8143  3 Rh 2.74-3.06
Nd 0.3048 0.4904 0.1857  3 Rh 2.74-3.06
Nd 0.4904 0.1857 0.3048  3 Rh 2.74-3.06
Nd 0.5096 0.8143 0.6952  3 Rh 2.74-3.06
Nd 0.6952 0.5096 0.8143  3 Rh 2.74-3.06
Nd 0.6952 0.8809 0.1857  3 Rh 2.74-3.06
Nd 0.8143 0.3048 0.1191  3 Rh 2.74-3.06
Nd 0.8143 0.6952 0.5096  3 Rh 2.74-3.06
Nd 0.8809 0.1857 0.6952  3 Rh 2.74-3.06
Tl 0.0000 0.0000 0.0000  12 Nd 3.65
Rh 0.1310 0.6310 0.5000  1 Rh 2.68, 2 Nd 2.74
Rh 0.3690 0.5000 0.8690  1 Rh 2.68, 2 Nd 2.74
Rh 0.5000 0.1310 0.6310  1 Rh 2.68, 2 Nd 2.74
Rh 0.5000 0.8690 0.3690  1 Rh 2.68, 2 Nd 2.74
Rh 0.6310 0.5000 0.1310  1 Rh 2.68, 2 Nd 2.74
Rh 0.8690 0.3690 0.5000  1 Rh 2.68, 2 Nd 2.74

- symmetry = Im-3 (204)
- ΔH_f (0 K) (eV per atom) = -0.502
- final energy (eV/f.u.) = -113.23
- magnetization (Bohr magnetons per cell) = 0.00



(4)
Ho3Si2SbRh9 | PBE | relaxed

Lattice parameters (Å, degrees): 6.1357 6.1357 9.1699 90.00 90.00 120.00
With the nearest neighbours (Å) after each atom.
Sites, in units of the cell vectors:
Ho 0.0000 0.0000 0.0000  12 Rh 2.92-3.07
Ho 0.3333 0.6667 0.7400  9 Rh 2.97-3.08
Ho 0.6667 0.3333 0.2600  9 Rh 2.97-3.08
Si 0.3333 0.6667 0.1630  6 Rh 2.21-2.32
Si 0.6667 0.3333 0.8370  6 Rh 2.21-2.32
Sb 0.0000 0.0000 0.5000  6 Rh 2.63
Rh 0.0000 0.5000 0.0000  2 Si 2.32
Rh 0.1463 0.2927 0.2693  1 Si 2.21
Rh 0.1463 0.8537 0.2693  1 Si 2.21
Rh 0.2927 0.1463 0.7307  1 Si 2.21
Rh 0.5000 0.0000 0.0000  2 Si 2.32
Rh 0.5000 0.5000 0.0000  2 Si 2.32
Rh 0.7073 0.8537 0.2693  1 Si 2.21
Rh 0.8537 0.1463 0.7307  1 Si 2.21
Rh 0.8537 0.7073 0.7307  1 Si 2.21

- symmetry = P-3m1 (164)
- final energy (eV/f.u.) = -103.60
- magnetization (Bohr magnetons per cell) = 0.00